[1]
VASP calculation (GGA-PBE) on a relaxed CuRe2Cl crystal.

Results
ΔE to the lowest computed polymorph = 602 meV/atom
raw formation energy = 886 meV per atom
size of the total moment = 0.00 μB per formula unit

Lattice parameters (Å, degrees): 2.7806 2.7806 8.9999 90.00 90.00 120.50
Sites, in units of the cell vectors:
Re 0.0000 0.0000 0.5023
Cu 0.5000 0.5000 0.7500
Cl 0.5000 0.5000 0.2500
Re 0.0000 0.0000 0.9977

***

[2]
VASP calculation (GGA-PBE) on a relaxed CuReCl2 crystal.

Results
ΔE to the lowest computed polymorph = 468 meV/atom
raw formation energy = 630 meV per atom
size of the total moment = 0.01 μB per formula unit

Lattice parameters (Å, degrees): 6.4560 6.4560 6.4560 154.43 140.06 48.02
Sites, in units of the cell vectors:
Re 0.2428 0.7428 0.5000
Cu 0.4260 0.4260 0.0000
Cl 0.7606 0.2606 0.5000
Cl 0.0706 0.0706 0.0000

***

[3]
VASP calculation (GGA-PBE) on a relaxed CuReCl2 crystal.

Results
ΔE to the lowest computed polymorph = 692 meV/atom
raw formation energy = 854 meV per atom
size of the total moment = 2.27 μB per formula unit

Lattice parameters (Å, degrees): 2.8895 5.7707 4.1209 90.00 90.00 90.00
Site moments in Bohr magnetons follow the coordinates.
Sites, in units of the cell vectors:
Cu 0.5000 0.0000 0.5000  0.14
Re 0.0000 0.5000 0.5000  1.69
Cl 0.5000 0.5000 0.0000  0.03
Cl 0.0000 0.0000 0.0000  0.10

***

[4]
VASP calculation (GGA-PBE) on a relaxed CuRe2Cl crystal.

Results
ΔE to the lowest computed polymorph = 1002 meV/atom
raw formation energy = 1285 meV per atom
size of the total moment = 0.00 μB per formula unit

Lattice parameters (Å, degrees): 6.5090 3.4857 3.4857 90.00 90.00 90.00
Sites, in units of the cell vectors:
Re 0.0000 0.0000 0.0000
Cl 0.5000 0.5000 0.0000
Re 0.0000 0.5000 0.5000
Cu 0.5000 0.0000 0.5000

***

[5]
VASP calculation (GGA-PBE) on a relaxed Cu2ReCl8 crystal.

Results
raw formation energy = -466 meV per atom
size of the total moment = 0.92 μB per formula unit

Lattice parameters (Å, degrees): 5.8963 7.9387 7.9387 53.53 87.87 87.87
Site moments in Bohr magnetons follow the coordinates.
Sites, in units of the cell vectors:
Re 0.0000 0.0000 0.0000  1.40
Cl 0.8081 0.8584 0.8584  -0.01
Cl 0.7534 0.8377 0.2906  0.02
Cl 0.7030 0.3067 0.3067  -0.12
Cl 0.1919 0.1416 0.1416  -0.01
Cl 0.7534 0.2906 0.8377  0.02
Cl 0.2970 0.6933 0.6933  -0.12
Cu 0.4385 0.8292 0.8292  -0.25
Cl 0.2466 0.1623 0.7094  0.02
Cl 0.2466 0.7094 0.1623  0.02
Cu 0.5615 0.1708 0.1708  -0.25

***

[6]
VASP calculation (GGA-PBE) on a relaxed Cu3ReCl9 crystal.

Results
raw formation energy = -527 meV per atom
size of the total moment = 0.94 μB per formula unit

Lattice parameters (Å, degrees): 8.9889 9.2593 10.8331 78.05 65.49 60.96
Site moments in Bohr magnetons follow the coordinates.
Sites, in units of the cell vectors:
Cu 0.7588 0.5709 0.5898  -0.20
Cu 0.2407 0.4639 0.3484  -0.20
Cl 0.5079 0.8169 0.6821  -0.01
Cl 0.8624 0.0945 0.0366  -0.05
Cl 0.7025 0.9204 0.3698  0.07
Cl 0.0072 0.4204 0.8698  0.07
Cl 0.1270 0.6031 0.1708  0.03
Cl 0.0065 0.5945 0.5366  -0.05
Re 0.4091 0.0027 0.5182  1.36
Cu 0.9469 0.9639 0.8484  -0.20
Cu 0.5847 0.2158 0.7203  -0.19
Cl 0.1575 0.6873 0.8552  0.01
Cl 0.4147 0.2147 0.5997  0.01
Cl 0.3796 0.3046 0.9455  0.02
Cl 0.5144 0.4593 0.2638  -0.07
Cu 0.4792 0.7158 0.2203  -0.19
Cl 0.3000 0.1873 0.3552  0.01
Cl 0.7625 0.9593 0.7638  -0.07
Cl 0.3580 0.9035 0.0776  -0.05
Cl 0.6609 0.4035 0.5776  -0.05
Re 0.0700 0.5027 0.0182  1.36
Cl 0.7709 0.7147 0.0997  0.01
Cl 0.0991 0.1031 0.6708  0.03
Cl 0.9931 0.3169 0.1821  -0.01
Cl 0.3703 0.8046 0.4455  0.02
Cu 0.0805 0.0709 0.0898  -0.20

***

[7]
VASP calculation (GGA-PBE) on a relaxed CuRe2Cl crystal.

Results
ΔE to the lowest computed polymorph = 654 meV/atom
raw formation energy = 938 meV per atom
size of the total moment = 0.00 μB per formula unit

Lattice parameters (Å, degrees): 3.1501 3.1514 6.6233 90.00 90.00 90.00
Sites, in units of the cell vectors:
Cu 0.5000 0.5000 0.7500
Re 0.0000 0.0000 0.5717
Re 0.0000 0.0000 0.9283
Cl 0.5000 0.5000 0.2500

***

[8]
VASP calculation (GGA-PBE) on a relaxed CuRe2Cl crystal.

Results
ΔE to the lowest computed polymorph = 608 meV/atom
raw formation energy = 892 meV per atom
size of the total moment = 0.00 μB per formula unit

Lattice parameters (Å, degrees): 4.4964 3.0561 4.7719 97.55 90.00 90.00
Sites, in units of the cell vectors:
Re 0.0000 0.4284 0.5452
Cu 0.5000 0.7500 0.7500
Cl 0.5000 0.2500 0.2500
Re 0.0000 0.0716 0.9548

***

[9]
VASP calculation (GGA-PBE) on a relaxed CuReCl3 crystal.

Results
ΔE to the lowest computed polymorph = 222 meV/atom
raw formation energy = 739 meV per atom
size of the total moment = 5.52 μB per formula unit

Lattice parameters (Å, degrees): 4.7826 4.7826 4.7826 90.00 90.00 90.00
Site moments in Bohr magnetons follow the coordinates.
Sites, in units of the cell vectors:
Cl 0.0000 0.0000 0.5000  0.05
Cl 0.5000 0.0000 0.0000  0.05
Cu 0.0000 0.0000 0.0000  -0.02
Cl 0.0000 0.5000 0.0000  0.07
Re 0.5000 0.5000 0.5000  4.34

***

[10]
VASP calculation (GGA-PBE) on a relaxed CuReCl3 crystal.

Results
ΔE to the lowest computed polymorph = 0 meV/atom
raw formation energy = 517 meV per atom
size of the total moment = 2.26 μB per formula unit

Lattice parameters (Å, degrees): 4.8136 4.8136 4.8136 90.00 90.00 90.00
Site moments in Bohr magnetons follow the coordinates.
Sites, in units of the cell vectors:
Re 0.0000 0.0000 0.0000  1.83
Cu 0.5000 0.5000 0.5000  0.00
Cl 0.5000 0.0000 0.0000  0.10
Cl 0.0000 0.5000 0.0000  0.03
Cl 0.0000 0.0000 0.5000  0.03

***

[11]
VASP calculation (GGA-PBE) on a relaxed CuReCl2 crystal.

Results
ΔE to the lowest computed polymorph = 895 meV/atom
raw formation energy = 1057 meV per atom
size of the total moment = 0.00 μB per formula unit

Lattice parameters (Å, degrees): 4.3885 4.3885 4.3885 60.00 60.00 60.00
Sites, in units of the cell vectors:
Cl 0.2500 0.2500 0.2500
Cl 0.7500 0.7500 0.7500
Re 0.5000 0.5000 0.5000
Cu 0.0000 0.0000 0.0000

***

[12]
VASP calculation (GGA-PBE) on a relaxed CuRe2Cl crystal.

Results
ΔE to the lowest computed polymorph = 695 meV/atom
raw formation energy = 979 meV per atom
size of the total moment = 0.00 μB per formula unit

Lattice parameters (Å, degrees): 2.7423 4.7610 4.6509 90.00 90.00 90.00
Sites, in units of the cell vectors:
Cl 0.5000 0.0000 0.5000
Re 0.0000 0.0000 0.0000
Re 0.5000 0.5000 0.0000
Cu 0.0000 0.5000 0.5000

***

What is the raw formation energy in the third record?
854 meV per atom

***

Among the records above, which one has the highest size of the total moment?
number 9